# 1
The following is a GGA-PBE calculation of a relaxed VCl crystal, from Alexandria via LeMat-Bulk.

Lattice parameters (Å, degrees): 6.489 6.489 6.489 90.00 90.00 90.00
Space group Pm-3n (No. 223)
Unique sites:
V  0.000  0.250  0.500 x6
Cl  0.000  0.500  0.250 x6

formation energy (no corrections)	0.43	eV per atom
theoretical density	3.15	Mg/m³
density of states at the Fermi level	14.65	states/eV per cell
E_tot	-0.1855	Ha/atom


# 2
The following is a GGA-PBE calculation of a relaxed Cd7Hg12Pb crystal, from Alexandria via LeMat-Bulk.

Lattice parameters (Å, degrees): 14.2417 14.2417 8.8382 90.00 90.00 120.00
Space group R-3 (No. 148, hexagonal axes)
Unique sites:
Cd  0.0000  0.0000  0.0000 x3
Cd  0.0653  0.4924  0.1322 x18
Hg  0.0013  0.2507  0.0979 x18
Hg  0.0210  0.1669  0.7745 x18
Pb  0.0000  0.0000  0.5000 x3

polymorph energy (0 for the lowest one)	0.0000	eV per atom
theoretical density	10.91	Mg/m³
density of states at the Fermi level	17.34	states/eV per cell
E_tot	-0.0240	Ha/atom
DFT formation energy	0.03	eV/atom


# 3
The following is a GGA-PBE calculation of a relaxed Cs3K5 crystal, from Alexandria via LeMat-Bulk.

Lattice parameters (Å, degrees): 7.130 7.130 27.269 90.00 90.00 90.00
Space group I-4m2 (No. 119)
Unique sites:
Cs  0.000  0.000  0.000 x2
Cs  0.000  0.500  0.130 x4
K  0.000  0.000  0.250 x4
K  0.000  0.000  0.500 x2
K  0.000  0.500  0.632 x4

theoretical density	1.42	Mg/m³
density of states at the Fermi level	13.20	states/eV per cell
E_tot	-0.0366	Ha/atom
DFT formation energy	0.01	eV/atom


# 4
The following is a GGA-PBE calculation of a relaxed NbCuPt5 crystal, from Alexandria via LeMat-Bulk.

Lattice parameters (Å, degrees): 4.009 4.009 7.032 90.00 90.00 90.00
Space group P4/mmm (No. 123)
Unique sites:
Nb  0.000  0.000  0.000 x1
Cu  0.500  0.500  0.500 x1
Pt  0.000  0.500  0.274 x4
Pt  0.500  0.500  0.000 x1

theoretical density	16.63	Mg/m³
density of states at the Fermi level	7.33	states/eV per cell
E_tot	-0.2472	Ha/atom
DFT formation energy	-0.39	eV/atom


# 5
The following is a GGA-PBE calculation of a relaxed Y6Bi2Ir crystal, from Alexandria via LeMat-Bulk.

Lattice parameters (Å, degrees): 6.506 8.016 12.043 90.00 120.83 90.00
Space group P2_1/c (No. 14)
Unique sites:
Y  0.097  0.185  0.458 x4
Y  0.318  0.680  0.456 x4
Y  0.379  0.024  0.248 x4
Bi  0.154  0.114  0.749 x4
Ir  0.500  0.000  0.500 x2

theoretical density	7.04	Mg/m³
density of states at the Fermi level	18.23	states/eV per cell
E_tot	-0.2473	Ha/atom
DFT formation energy	-0.57	eV/atom


# 6
The following is a GGA-PBE calculation of a relaxed LiDy2Ga5Co2 crystal, from Alexandria via LeMat-Bulk.

Lattice parameters (Å, degrees): 9.231 9.231 4.023 90.00 90.00 90.00
Space group P4/mbm (No. 127)
Unique sites:
Li  0.000  0.000  0.000 x2
Dy  0.181  0.319  0.000 x4
Ga  0.000  0.500  0.500 x2
Ga  0.064  0.786  0.500 x8
Co  0.114  0.614  0.000 x4

theoretical density	7.73	Mg/m³
density of states at the Fermi level	11.18	states/eV per cell
E_tot	-0.1660	Ha/atom
DFT formation energy	-0.47	eV/atom


# 7
The following is a GGA-PBE calculation of a relaxed Sr2MgOs crystal, from Alexandria via LeMat-Bulk.

Lattice parameters (Å, degrees): 7.100 7.111 4.298 90.00 90.00 90.00
Space group Cmmm (No. 65)
Unique sites:
Sr  0.250  0.250  0.000 x4
Mg  0.000  0.000  0.500 x2
Os  0.000  0.500  0.500 x2

theoretical density	5.97	Mg/m³
density of states at the Fermi level	6.58	states/eV per cell
E_tot	-0.1260	Ha/atom
DFT formation energy	0.62	eV/atom


# 8
The following is a GGA-PBE calculation of a relaxed Mg2ScZn crystal, from Alexandria via LeMat-Bulk.

Lattice parameters (Å, degrees): 3.2404 3.2404 28.6454 90.00 90.00 120.00
Space group R-3m (No. 166, hexagonal axes)
Unique sites:
Mg  0.0000  0.0000  0.2414 x6
Sc  0.0000  0.0000  0.0000 x3
Zn  0.0000  0.0000  0.5000 x3

theoretical density	3.04	Mg/m³
density of states at the Fermi level	8.81	states/eV per cell
E_tot	-0.0980	Ha/atom
DFT formation energy	0.03	eV/atom


# 9
The following is a GGA-PBE calculation of a relaxed In3RhSe crystal, from Alexandria via LeMat-Bulk.

Lattice parameters (Å, degrees): 5.300 5.300 5.300 90.00 90.00 90.00
Space group Pm-3m (No. 221)
Unique sites:
In  0.000  0.000  0.500 x3
Rh  0.500  0.500  0.500 x1
Se  0.000  0.000  0.000 x1

polymorph energy (0 for the lowest one)	1.0228	eV per atom
formation energy (no corrections)	0.85	eV per atom
theoretical density	5.87	Mg/m³
density of states at the Fermi level	1.91	states/eV per cell
E_tot	-0.1088	Ha/atom


# 10
The following is a GGA-PBE calculation of a relaxed Tb2Pm6Pr crystal, from Alexandria via LeMat-Bulk.

Lattice parameters (Å, degrees): 8.267 8.267 10.534 90.00 90.00 90.00
Space group P4_2/mnm (No. 136)
Unique sites:
Tb  0.000  0.000  0.166 x4
Pm  0.237  0.237  0.000 x4
Pm  0.239  0.239  0.334 x8
Pr  0.000  0.000  0.500 x2

polymorph energy (0 for the lowest one)	0.6101	eV per atom
theoretical density	6.13	Mg/m³
density of states at the Fermi level	27.83	states/eV per cell
E_tot	-0.1507	Ha/atom
DFT formation energy	0.63	eV/atom


# 11
The following is a GGA-PBE calculation of a relaxed LiMgTe3 crystal, from Alexandria via LeMat-Bulk.

Lattice parameters (Å, degrees): 5.513 5.513 5.513 90.00 90.00 90.00
Space group Pm-3m (No. 221)
Unique sites:
Li  0.000  0.000  0.000 x1
Mg  0.500  0.500  0.500 x1
Te  0.000  0.500  0.500 x3

polymorph energy (0 for the lowest one)	0.0000	eV per atom
formation energy (no corrections)	-0.06	eV per atom
theoretical density	4.10	Mg/m³
density of states at the Fermi level	5.97	states/eV per cell
E_tot	-0.0973	Ha/atom


# 12
The following is a GGA-PBE calculation of a relaxed YTaZn crystal, from Alexandria via LeMat-Bulk.

Lattice parameters (Å, degrees): 3.087 3.087 12.868 90.00 90.00 90.00
Space group I4mm (No. 107)
Unique sites:
Y  0.000  0.000  0.000 x2
Ta  0.000  0.000  0.685 x2
Zn  0.000  0.000  0.325 x2

polymorph energy (0 for the lowest one)	0.0000	eV per atom
theoretical density	9.08	Mg/m³
density of states at the Fermi level	5.62	states/eV per cell
E_tot	-0.2353	Ha/atom
DFT formation energy	0.13	eV/atom


Among the records above, which one has the highest theoretical density?
NbCuPt5